[1]
{
  "formula": "In2CoIr",
  "functional": "PBEsol",
  "state": "relaxed",
  "lattice": [[2.9551, 0.0000, 0.0000], [-1.4776, 2.5592, 0.0000], [0.0000, 0.0000, 26.8232]],
  "species": ["In", "In", "In", "In", "In", "In", "Co", "Co", "Co", "Ir", "Ir", "Ir"],
  "frac_coords": [[0.0000, 0.0000, 0.0000], [0.0000, 0.0000, 0.2301], [0.3333, 0.6667, 0.6667], [0.3333, 0.6667, 0.8968], [0.6667, 0.3333, 0.3333], [0.6667, 0.3333, 0.5635], [0.0000, 0.0000, 0.7439], [0.3333, 0.6667, 0.4106], [0.6667, 0.3333, 0.0772], [0.0000, 0.0000, 0.4803], [0.3333, 0.6667, 0.1470], [0.6667, 0.3333, 0.8136]],
  "ef_ev_per_atom": 0.320,
  "sg": "No. 160"
}

[2]
{
  "formula": "In2CoIr",
  "functional": "PBEsol",
  "state": "relaxed",
  "lattice": [[2.9821, 0.0000, 0.0000], [-1.4910, 2.5825, 0.0000], [0.0000, 0.0000, 25.1075]],
  "species": ["In", "In", "In", "In", "In", "In", "Co", "Co", "Co", "Ir", "Ir", "Ir"],
  "frac_coords": [[0.0000, 0.0000, 0.2460], [0.0000, 0.0000, 0.7540], [0.3333, 0.6667, 0.4207], [0.3333, 0.6667, 0.9127], [0.6667, 0.3333, 0.0873], [0.6667, 0.3333, 0.5793], [0.0000, 0.0000, 0.5000], [0.3333, 0.6667, 0.1667], [0.6667, 0.3333, 0.8333], [0.0000, 0.0000, 0.0000], [0.3333, 0.6667, 0.6667], [0.6667, 0.3333, 0.3333]],
  "ef_ev_per_atom": 0.217,
  "sg": "No. 166"
}

[3]
{
  "formula": "TlInCoIr2",
  "functional": "PBEsol",
  "state": "relaxed",
  "lattice": [[4.5347, 0.0000, 0.0000], [0.0000, 4.5347, 0.0000], [0.0000, 0.0000, 4.6647]],
  "species": ["Tl", "In", "Co", "Ir", "Ir"],
  "frac_coords": [[0.0000, 0.0000, 0.0000], [0.5000, 0.5000, 0.0000], [0.5000, 0.5000, 0.5000], [0.0000, 0.5000, 0.5000], [0.5000, 0.0000, 0.5000]],
  "ef_ev_per_atom": 0.972,
  "sg": "No. 123"
}

[4]
{
  "formula": "KIn2Co",
  "functional": "PBEsol",
  "state": "relaxed",
  "lattice": [[4.3285, 0.0000, 0.0000], [-2.1643, 3.7486, 0.0000], [0.0000, 0.0000, 19.5959]],
  "species": ["K", "K", "K", "In", "In", "In", "In", "In", "In", "Co", "Co", "Co"],
  "frac_coords": [[0.0000, 0.0000, 0.0000], [0.3333, 0.6667, 0.6667], [0.6667, 0.3333, 0.3333], [0.0000, 0.0000, 0.2058], [0.0000, 0.0000, 0.7942], [0.3333, 0.6667, 0.4608], [0.3333, 0.6667, 0.8725], [0.6667, 0.3333, 0.1275], [0.6667, 0.3333, 0.5392], [0.0000, 0.0000, 0.5000], [0.3333, 0.6667, 0.1667], [0.6667, 0.3333, 0.8333]],
  "ef_ev_per_atom": 0.182,
  "sg": "No. 166"
}

[5]
{
  "formula": "K3InCo",
  "functional": "PBEsol",
  "state": "relaxed",
  "lattice": [[6.5314, 0.0000, 0.0000], [0.0000, 6.5314, 0.0000], [0.0000, 0.0000, 6.5314]],
  "species": ["K", "K", "K", "In", "Co"],
  "frac_coords": [[0.0000, 0.0000, 0.5000], [0.0000, 0.5000, 0.0000], [0.5000, 0.0000, 0.0000], [0.0000, 0.0000, 0.0000], [0.5000, 0.5000, 0.5000]],
  "ef_ev_per_atom": 1.089,
  "sg": "No. 221"
}

[6]
{
  "formula": "LaIn4Co",
  "functional": "PBEsol",
  "state": "relaxed",
  "lattice": [[0.0000, 4.1612, 4.1612], [4.1612, 0.0000, 4.1612], [4.1612, 4.1612, 0.0000]],
  "species": ["La", "In", "In", "In", "In", "Co"],
  "frac_coords": [[0.0000, 0.0000, 0.0000], [0.3754, 0.3754, 0.3754], [0.3754, 0.3754, 0.8739], [0.3754, 0.8739, 0.3754], [0.8739, 0.3754, 0.3754], [0.7500, 0.7500, 0.7500]],
  "ef_ev_per_atom": 0.223,
  "sg": "No. 216"
}